# 1
DFT (PBE) results for a geometry-optimized LaGa2Ag3 structure.

Calculated values
Its total magnetization is 0.00 μB/f.u. The calculation puts the formation enthalpy at 0 K at -0.31 eV per atom.

abc: 16.742 4.362 7.759
angles: 90.00 116.66 90.00
Space group C2/m (No. 12)
Inequivalent atoms, fractional coordinates:
La  0.148  0.000  0.067 [4 per cell]
Ga  0.019  0.500  0.171 [4 per cell]
Ga  0.199  0.000  0.708 [4 per cell]
Ag  0.041  0.000  0.376 [4 per cell]
Ag  0.098  0.500  0.688 [4 per cell]
Ag  0.185  0.500  0.446 [4 per cell]

# 2
DFT (PBE) results for a geometry-optimized MgNiGe2 structure.

Calculated values
Its total magnetization is 0.00 μB/f.u. The calculation puts the formation enthalpy at 0 K at -0.24 eV per atom.

abc: 3.740 9.412 7.367
angles: 90.00 90.00 90.00
Space group Cmcm (No. 63)
Inequivalent atoms, fractional coordinates:
Mg  0.000  0.063  0.250 [4 per cell]
Ni  0.000  0.219  0.750 [4 per cell]
Ge  0.000  0.356  0.045 [8 per cell]